Entry from the Alexandria database: a relaxed structure of LaVAg2F (PBE+U).

Summary:
Electronic total energy in eV per atom: -4.079
Theoretical density in g cm⁻³: 4.7
Spin magnetization in μB/cell: 3.699
N(E_F) in states/eV/cell: 2.147

Cell lengths 5.8474, 4.4136, 5.8474 Å; angles 90.00, 90.00, 90.00 degrees
With the nearest neighbours (Å) after each atom.
Positions (direct):
Ag1 0.5000 0.0000 0.0000  2 La 2.92
Ag2 0.0000 0.0000 0.5000  2 La 2.92
La1 0.0000 0.0000 0.0000  2 F 2.21
F1 0.0000 0.5000 0.0000  2 La 2.21
V1 0.5000 0.5000 0.5000  8 Ag 3.66